{
  "formula": "BiBHO2",
  "functional": "PBE-GGA",
  "state": "relaxed",
  "lattice": [[-2.823, -3.170, -0.194], [0.745, -0.495, -2.765], [2.983, -2.736, 1.294]],
  "species": ["H", "B", "Bi", "O", "O"],
  "fractional_positions": [[0.000, 0.000, 0.000], [0.000, 0.500, 0.000], [0.500, 0.500, 0.500], [0.000, 0.000, 0.500], [0.500, 0.000, 0.000]],
  "space_group": "No. 123",
  "magmom_total_mub_per_fu": 0.000,
  "final_energy_ev_per_cell": -21.30,
  "volume_a3_per_fu": 52
}